Entry 1:
The following is a DFT calculation (PBE) of an optimized crystal structure of CsKTe2I.

Lattice parameters (Å, degrees): 6.5295 6.5295 7.1797 90.00 90.00 90.00
Atoms (fractional coordinates):
I (0.0000, 0.0000, 0.5000)
Cs (0.0000, 0.0000, 0.0000)
K (0.5000, 0.5000, 0.5000)
Te (0.0000, 0.5000, 0.0000)
Te (0.5000, 0.0000, 0.0000)

Results
formation energy without anion corrections	-6.3	kJ per mole of atoms
D(E_F)	1.913	states/eV/atom
VASP energy	-2.0222	eV per atom
total magnetic moment	1.66	μB/f.u.
excess energy over the best structure of this formula in the dataset	229	meV/atom

---

Entry 2:
The following is a DFT calculation (PBE) of an optimized crystal structure of CsKTe2I.

Lattice parameters (Å, degrees): 6.5614 6.5614 6.6450 90.00 90.00 90.00
Atoms (fractional coordinates):
K (0.0000, 0.0000, 0.0000)
Cs (0.5000, 0.5000, 0.5000)
I (0.0000, 0.0000, 0.5000)
Te (0.5000, 0.0000, 0.0000)
Te (0.0000, 0.5000, 0.0000)

Results
formation energy without anion corrections	-28.4	kJ per mole of atoms
D(E_F)	1.198	states/eV/atom
VASP energy	-2.2514	eV per atom
total magnetic moment	3.03	μB/f.u.
excess energy over the best structure of this formula in the dataset	0	meV/atom

---

Entry 3:
The following is a DFT calculation (PBE) of an optimized crystal structure of CsKTeI2.

Lattice parameters (Å, degrees): 6.7048 6.7048 6.4882 90.00 90.00 90.00
Atoms (fractional coordinates):
I (0.0000, 0.5000, 0.0000)
I (0.5000, 0.0000, 0.0000)
K (0.0000, 0.0000, 0.0000)
Cs (0.5000, 0.5000, 0.5000)
Te (0.0000, 0.0000, 0.5000)

Results
formation energy without anion corrections	-62.0	kJ per mole of atoms
D(E_F)	1.043	states/eV/atom
VASP energy	-2.2810	eV per atom
total magnetic moment	2.05	μB/f.u.